No. 1
The following is a DFT calculation (PBE-GGA) of crystalline AcNd5Y2 at its relaxed geometry.

Computed properties:
Energy relative to the lowest polymorph listed for this composition   0.00 kcal/mol of atoms

a b c (Å): 7.3874 14.7796 5.2023
angles (deg): 90.00 90.00 90.00
Positions (direct):
Ac  0.0000  0.0000  0.0000
Ac  0.5000  0.5000  0.0000
Nd  0.0000  0.5000  0.0000
Nd  0.0010  0.2524  0.0000
Nd  0.2465  0.6271  0.5000
Nd  0.2535  0.1271  0.5000
Nd  0.4990  0.7524  0.0000
Nd  0.5000  0.0000  0.0000
Nd  0.5010  0.2476  0.0000
Nd  0.7465  0.8729  0.5000
Nd  0.7535  0.3729  0.5000
Nd  0.9990  0.7476  0.0000
Y  0.2486  0.3729  0.5000
Y  0.2514  0.8729  0.5000
Y  0.7486  0.1271  0.5000
Y  0.7514  0.6271  0.5000

---

No. 2
The following is a DFT calculation (PBE-GGA) of crystalline Ac8Nd4Y at its relaxed geometry.

a b c (Å): 8.3792 8.3792 8.3792
angles (deg): 90.09 90.09 90.09
Positions (direct):
Ac  0.2401  0.2401  0.2401
Ac  0.2401  0.2401  0.7591
Ac  0.2401  0.7591  0.2401
Ac  0.2409  0.7599  0.7599
Ac  0.7591  0.2401  0.2401
Ac  0.7599  0.2409  0.7599
Ac  0.7599  0.7599  0.2409
Ac  0.7599  0.7599  0.7599
Nd  0.0000  0.0000  0.0000
Nd  0.0000  0.5000  0.5000
Nd  0.5000  0.0000  0.5000
Nd  0.5000  0.5000  0.0000
Y  0.5000  0.5000  0.5000

---

No. 3
The following is a DFT calculation (PBE-GGA) of crystalline AcNd12Y7 at its relaxed geometry.

Computed properties:
Energy relative to the lowest polymorph listed for this composition   10.36 kcal/mol of atoms

a b c (Å): 10.1397 10.1397 10.1397
angles (deg): 109.47 109.47 109.47
Positions (direct):
Ac  0.0000  0.0000  0.0000
Nd  0.0017  0.2723  0.7294
Nd  0.2706  0.5429  0.2723
Nd  0.2706  0.9983  0.7277
Nd  0.2723  0.2706  0.5429
Nd  0.2723  0.7294  0.0017
Nd  0.4571  0.7277  0.7294
Nd  0.5429  0.2723  0.2706
Nd  0.7277  0.2706  0.9983
Nd  0.7277  0.7294  0.4571
Nd  0.7294  0.0017  0.2723
Nd  0.7294  0.4571  0.7277
Nd  0.9983  0.7277  0.2706
Y  0.0000  0.0000  0.5000
Y  0.0000  0.5000  0.0000
Y  0.0000  0.5000  0.5000
Y  0.5000  0.0000  0.0000
Y  0.5000  0.0000  0.5000
Y  0.5000  0.5000  0.0000
Y  0.5000  0.5000  0.5000

---

No. 4
The following is a DFT calculation (PBE-GGA) of crystalline AcNd4Y3 at its relaxed geometry.

a b c (Å): 13.0025 13.0025 13.0025
angles (deg): 163.17 153.41 31.64
Positions (direct):
Ac  0.0000  0.0000  0.0000
Nd  0.1405  0.6405  0.5000
Nd  0.3857  0.8857  0.5000
Nd  0.6143  0.1143  0.5000
Nd  0.8595  0.3595  0.5000
Y  0.2654  0.2654  0.0000
Y  0.5000  0.5000  0.0000
Y  0.7346  0.7346  0.0000

---

Number 1: VASP energy -5.090 eV/atom, size of the total moment 0.00 Bohr magnetons per cell, energy of formation 0.019 eV per atom. Number 2: VASP energy -4.097 eV/atom, size of the total moment 0.00 Bohr magnetons per cell, energy of formation 0.396 eV per atom. Number 3: VASP energy -4.678 eV/atom, size of the total moment 0.00 Bohr magnetons per cell, energy of formation 0.650 eV per atom. Number 4: VASP energy -5.237 eV/atom, size of the total moment 0.00 Bohr magnetons per cell, energy of formation 0.084 eV per atom.